Record 1
Here is crystalline Rb3Np2NiSe6 at its relaxed geometry from the Alexandria database. Energies are from PBE.

Values from the calculation:
SG: C2/m, No. 12
Mass density: 5878 kg/m3
Formation energy from raw total energies: -972 meV/atom

Cell: 7.1936 7.1936 8.3149 Å, 98.29 98.29 120.00°
Last column: nearest neighbours and their distance in Å.
Sites, in units of the cell vectors:
Rb (0.0000, 0.0000, 0.0000)  6 Se 3.43-3.52
Rb (0.3331, 0.6669, 0.0000)  6 Se 3.43-3.52
Rb (0.6669, 0.3331, 0.0000)  6 Se 3.43-3.52
Np (0.1666, 0.8334, 0.5000)  6 Se 2.86
Np (0.8334, 0.1666, 0.5000)  6 Se 2.86
Ni (0.5000, 0.5000, 0.5000)  6 Se 2.75
Se (0.1169, 0.4375, 0.3126)  1 Ni 2.75, 2 Np 2.86
Se (0.2417, 0.2417, 0.6877)  1 Ni 2.75, 2 Np 2.86
Se (0.4375, 0.1169, 0.3126)  1 Ni 2.75, 2 Np 2.86
Se (0.5625, 0.8831, 0.6874)  1 Ni 2.75, 2 Np 2.86
Se (0.7583, 0.7583, 0.3123)  1 Ni 2.75, 2 Np 2.86
Se (0.8831, 0.5625, 0.6874)  1 Ni 2.75, 2 Np 2.86


Record 2
Here is crystalline Rb4Np3NiSe8 at its relaxed geometry from the Alexandria database. Energies are from PBE.

Values from the calculation:
SG: C2/m, No. 12
Mass density: 5906 kg/m3
Formation energy from raw total energies: -1012 meV/atom

Cell: 8.4904 8.4904 9.3588 Å, 117.35 117.35 58.75°
Last column: nearest neighbours and their distance in Å.
Sites, in units of the cell vectors:
Rb (0.0000, 0.0000, 0.0000)  6 Se 3.44-3.60
Rb (0.0000, 0.5000, 0.0000)  6 Se 3.40-3.49
Rb (0.5000, 0.0000, 0.0000)  6 Se 3.40-3.49
Rb (0.5000, 0.5000, 0.0000)  6 Se 3.44-3.45
Np (0.0000, 0.0000, 0.5000)  6 Se 2.89-2.93
Np (0.0000, 0.5000, 0.5000)  6 Se 2.85-2.91
Np (0.5000, 0.0000, 0.5000)  6 Se 2.85-2.91
Ni (0.5000, 0.5000, 0.5000)  6 Se 2.70-2.94
Se (0.2327, 0.2327, 0.6995)  3 Np 2.90-2.93
Se (0.2465, 0.7163, 0.6823)  1 Ni 2.70, 2 Np 2.89-2.91
Se (0.2661, 0.2661, 0.3058)  2 Np 2.85, 1 Ni 2.94
Se (0.2837, 0.7535, 0.3177)  1 Ni 2.70, 2 Np 2.89-2.91
Se (0.7163, 0.2465, 0.6823)  1 Ni 2.70, 2 Np 2.89-2.91
Se (0.7339, 0.7339, 0.6942)  2 Np 2.85, 1 Ni 2.94
Se (0.7535, 0.2837, 0.3177)  1 Ni 2.70, 2 Np 2.89-2.91
Se (0.7673, 0.7673, 0.3005)  3 Np 2.90-2.93


Record 3
Here is crystalline Rb4Np3NiTe8 at its relaxed geometry from the Alexandria database. Energies are from PBE.

Values from the calculation:
SG: R-3m, No. 166
Mass density: 5956 kg/m3
Formation energy from raw total energies: -711 meV/atom

Cell: 9.9559 9.9559 9.9559 Å, 53.67 53.67 53.67°
Last column: nearest neighbours and their distance in Å.
Sites, in units of the cell vectors:
Rb (0.0000, 0.0000, 0.0000)  6 Te 3.82
Rb (0.0000, 0.5000, 0.5000)  6 Te 3.62-3.67
Rb (0.5000, 0.0000, 0.5000)  6 Te 3.62-3.67
Rb (0.5000, 0.5000, 0.0000)  6 Te 3.62-3.67
Np (0.0000, 0.0000, 0.5000)  6 Te 3.11-3.12
Np (0.0000, 0.5000, 0.0000)  6 Te 3.11-3.12
Np (0.5000, 0.0000, 0.0000)  6 Te 3.11-3.12
Ni (0.5000, 0.5000, 0.5000)  6 Te 2.92
Te (0.2343, 0.2343, 0.2343)  3 Np 3.12
Te (0.2478, 0.7197, 0.7197)  1 Ni 2.92, 2 Np 3.11
Te (0.2803, 0.2803, 0.7522)  1 Ni 2.92, 2 Np 3.11
Te (0.2803, 0.7522, 0.2803)  1 Ni 2.92, 2 Np 3.11
Te (0.7197, 0.2478, 0.7197)  1 Ni 2.92, 2 Np 3.11
Te (0.7197, 0.7197, 0.2478)  1 Ni 2.92, 2 Np 3.11
Te (0.7522, 0.2803, 0.2803)  1 Ni 2.92, 2 Np 3.11
Te (0.7657, 0.7657, 0.7657)  3 Np 3.12


- Number 1 is which compound?
  Rb3Np2NiSe6


- Which of these has the highest formation energy from raw total energies?
  Rb4Np3NiTe8


Repeat the second record exactly.
Here is crystalline Rb4Np3NiSe8 at its relaxed geometry from the Alexandria database. Energies are from PBE.

Values from the calculation:
SG: C2/m, No. 12
Mass density: 5906 kg/m3
Formation energy from raw total energies: -1012 meV/atom

Cell: 8.4904 8.4904 9.3588 Å, 117.35 117.35 58.75°
Last column: nearest neighbours and their distance in Å.
Sites, in units of the cell vectors:
Rb (0.0000, 0.0000, 0.0000)  6 Se 3.44-3.60
Rb (0.0000, 0.5000, 0.0000)  6 Se 3.40-3.49
Rb (0.5000, 0.0000, 0.0000)  6 Se 3.40-3.49
Rb (0.5000, 0.5000, 0.0000)  6 Se 3.44-3.45
Np (0.0000, 0.0000, 0.5000)  6 Se 2.89-2.93
Np (0.0000, 0.5000, 0.5000)  6 Se 2.85-2.91
Np (0.5000, 0.0000, 0.5000)  6 Se 2.85-2.91
Ni (0.5000, 0.5000, 0.5000)  6 Se 2.70-2.94
Se (0.2327, 0.2327, 0.6995)  3 Np 2.90-2.93
Se (0.2465, 0.7163, 0.6823)  1 Ni 2.70, 2 Np 2.89-2.91
Se (0.2661, 0.2661, 0.3058)  2 Np 2.85, 1 Ni 2.94
Se (0.2837, 0.7535, 0.3177)  1 Ni 2.70, 2 Np 2.89-2.91
Se (0.7163, 0.2465, 0.6823)  1 Ni 2.70, 2 Np 2.89-2.91
Se (0.7339, 0.7339, 0.6942)  2 Np 2.85, 1 Ni 2.94
Se (0.7535, 0.2837, 0.3177)  1 Ni 2.70, 2 Np 2.89-2.91
Se (0.7673, 0.7673, 0.3005)  3 Np 2.90-2.93